# La2MgTc

La2MgTc after structural relaxation (GGA-PBE, Alexandria via LeMat-Bulk).

Structure (extended XYZ):
```
4
Lattice="-1.0264 2.7752 -1.9563 -3.3862 -0.9874 0.3759 -0.6180 4.8750 7.2399" Properties=species:S:1:pos:R:3 pbc="T T T"
Tc -2.6697 4.5501 4.6397
La -0.3400 2.6825 3.9838
La -0.5869 4.6300 6.8760
Mg -2.3608 2.1126 1.0198
```

* DFT formation energy: 0.028 eV/atom
* space group: P4/mmm

---

# LaMgTc

LaMgTc after structural relaxation (GGA-PBE, Alexandria via LeMat-Bulk).

Structure (extended XYZ):
```
3
Lattice="-1.4652 2.0116 -4.1019 -4.6730 0.7857 -0.7514 -1.7097 4.4828 0.0032" Properties=species:S:1:pos:R:3 pbc="T T T"
Tc -3.9240 3.6401 -2.4251
Mg 0.0000 0.0000 0.0000
La -1.9620 1.8200 -1.2125
```

* DFT formation energy: 1.170 eV/atom
* space group: F-43m

---

# La2MgTc

La2MgTc after structural relaxation (GGA-PBE, Alexandria via LeMat-Bulk).

Structure (extended XYZ):
```
4
Lattice="-2.7791 -5.7347 -7.6020 -3.5034 -7.9847 -4.7299 -5.9928 -5.4183 -5.7558" Properties=species:S:1:pos:R:3 pbc="T T T"
Mg -3.0688 -4.7844 -4.5219
Tc -9.2065 -14.3532 -13.5658
La -0.1942 -0.3028 -0.2862
La -5.9434 -9.2660 -8.7577
```

* DFT formation energy: 0.246 eV/atom
* space group: R-3m

---

# LaMgTc2Te

LaMgTc2Te after structural relaxation (GGA-PBE, Alexandria via LeMat-Bulk).

Structure (extended XYZ):
```
5
Lattice="-1.4998 -4.5782 -0.2512 0.7995 -0.5473 5.2025 -4.5268 1.4365 0.8468" Properties=species:S:1:pos:R:3 pbc="T T T"
Te 0.3998 -0.2737 2.6013
Tc -0.7499 -2.2891 -0.1256
Tc -2.2634 0.7182 0.4234
La -2.6135 -1.8445 2.8991
Mg 0.0000 0.0000 0.0000
```

* ΔE_f (raw): 22.43 kcal/mol of atoms
* space group: P4/mmm

---

Number 1: DFT total energy -5.43 eV/atom. Number 2: DFT total energy -4.46 eV/atom. Number 3: DFT total energy -5.21 eV/atom. Number 4: DFT total energy -5.11 eV/atom.